(1)
Crystalline SrHfCo2Ni at its relaxed geometry. Source: Alexandria via LeMat-Bulk, functional PBE.

Calculated values
Energy of formation from the pure elements   1.065 eV/atom
Magnetization   3.30 Bohr magnetons per cell
Space-group type   P4/mmm (123)
Total DFT energy (no corrections)   -5.260 eV/atom

Unit cell a=4.555 b=4.819 c=4.555 alpha=90.00 beta=90.00 gamma=90.00
Positions (direct):
Co  0.000  0.000  0.500
Co  0.500  0.000  0.000
Hf  0.500  0.500  0.500
Sr  0.000  0.500  0.000
Ni  0.000  0.000  0.000

***

(2)
Crystalline HfTaCoNi at its relaxed geometry. Source: Alexandria via LeMat-Bulk, functional PBE.

Calculated values
Energy of formation from the pure elements   -0.230 eV/atom
Magnetization   0.62 Bohr magnetons per cell
Space-group type   F-43m (216)
Total DFT energy (no corrections)   -8.903 eV/atom

Unit cell a=4.408 b=4.408 c=4.408 alpha=60.00 beta=60.00 gamma=60.00
Positions (direct):
Co  0.750  0.750  0.750
Ni  0.250  0.250  0.250
Hf  0.000  0.000  0.000
Ta  0.500  0.500  0.500

***

(3)
Crystalline TbHfCoNi at its relaxed geometry. Source: Alexandria via LeMat-Bulk, functional PBE.

Calculated values
Energy of formation from the pure elements   -0.256 eV/atom
Magnetization   0.47 Bohr magnetons per cell
Space-group type   F-43m (216)
Total DFT energy (no corrections)   -7.124 eV/atom

Unit cell a=4.617 b=4.617 c=4.617 alpha=60.00 beta=60.00 gamma=60.00
Positions (direct):
Co  0.750  0.750  0.750
Tb  0.000  0.000  0.000
Hf  0.500  0.500  0.500
Ni  0.250  0.250  0.250